--- i ---
Material: BeCoRePb
Method: DFT, PBE
State: relaxed

Geometry as CIF:
```
data_BeCoRePb
_chemical_formula_sum 'Be4 Co4 Re4 Pb4'
_cell_length_a 6.164
_cell_length_b 6.164
_cell_length_c 6.164
_cell_angle_alpha 90.00
_cell_angle_beta 90.00
_cell_angle_gamma 90.00
_space_group_name_H-M_alt 'F -4 3 m'
_space_group_IT_number 216
_space_group_name_Hall 'F -4 2 3'
loop_
_atom_site_label
_atom_site_type_symbol
_atom_site_fract_x
_atom_site_fract_y
_atom_site_fract_z
Be1 Be 0.000 0.000 0.000
Co1 Co 0.250 0.250 0.750
Re1 Re 0.250 0.250 0.250
Pb1 Pb 0.000 0.000 0.500
```



--- ii ---
Material: BeCoRePb
Method: DFT, PBE
State: relaxed

Geometry as CIF:
```
data_BeCoRePb
_chemical_formula_sum 'Be4 Co4 Re4 Pb4'
_cell_length_a 6.115
_cell_length_b 6.115
_cell_length_c 6.115
_cell_angle_alpha 90.00
_cell_angle_beta 90.00
_cell_angle_gamma 90.00
_space_group_name_H-M_alt 'F -4 3 m'
_space_group_IT_number 216
_space_group_name_Hall 'F -4 2 3'
loop_
_atom_site_label
_atom_site_type_symbol
_atom_site_fract_x
_atom_site_fract_y
_atom_site_fract_z
Be1 Be 0.000 0.000 0.000
Co1 Co 0.000 0.000 0.500
Re1 Re 0.250 0.250 0.750
Pb1 Pb 0.250 0.250 0.250
```



Result of the stability comparison: ii is the most stable of them.



--- i ---
Material: ScBeCoPb
Method: DFT, PBE
State: relaxed

Geometry as CIF:
```
data_ScBeCoPb
_chemical_formula_sum 'Sc4 Be4 Co4 Pb4'
_cell_length_a 6.429
_cell_length_b 6.429
_cell_length_c 6.429
_cell_angle_alpha 90.00
_cell_angle_beta 90.00
_cell_angle_gamma 90.00
_space_group_name_H-M_alt 'F -4 3 m'
_space_group_IT_number 216
_space_group_name_Hall 'F -4 2 3'
loop_
_atom_site_label
_atom_site_type_symbol
_atom_site_fract_x
_atom_site_fract_y
_atom_site_fract_z
Sc1 Sc 0.000 0.000 0.000
Be1 Be 0.000 0.000 0.500
Co1 Co 0.250 0.250 0.750
Pb1 Pb 0.250 0.250 0.250
```



--- ii ---
Material: ScBeCoPb
Method: DFT, PBE
State: relaxed

Geometry as CIF:
```
data_ScBeCoPb
_chemical_formula_sum 'Sc4 Be4 Co4 Pb4'
_cell_length_a 6.360
_cell_length_b 6.360
_cell_length_c 6.360
_cell_angle_alpha 90.00
_cell_angle_beta 90.00
_cell_angle_gamma 90.00
_space_group_name_H-M_alt 'F -4 3 m'
_space_group_IT_number 216
_space_group_name_Hall 'F -4 2 3'
loop_
_atom_site_label
_atom_site_type_symbol
_atom_site_fract_x
_atom_site_fract_y
_atom_site_fract_z
Sc1 Sc 0.000 0.000 0.000
Be1 Be 0.250 0.250 0.250
Co1 Co 0.000 0.000 0.500
Pb1 Pb 0.250 0.250 0.750
```



--- iii ---
Material: ScBeCoPb
Method: DFT, PBE
State: relaxed

Geometry as CIF:
```
data_ScBeCoPb
_chemical_formula_sum 'Sc4 Be4 Co4 Pb4'
_cell_length_a 6.299
_cell_length_b 6.299
_cell_length_c 6.299
_cell_angle_alpha 90.00
_cell_angle_beta 90.00
_cell_angle_gamma 90.00
_space_group_name_H-M_alt 'F -4 3 m'
_space_group_IT_number 216
_space_group_name_Hall 'F -4 2 3'
loop_
_atom_site_label
_atom_site_type_symbol
_atom_site_fract_x
_atom_site_fract_y
_atom_site_fract_z
Sc1 Sc 0.000 0.000 0.000
Be1 Be 0.250 0.250 0.750
Co1 Co 0.250 0.250 0.250
Pb1 Pb 0.000 0.000 0.500
```



Result of the stability comparison: iii is the most stable of them.



--- i ---
Material: TaBeCoPb
Method: DFT, PBE
State: relaxed

Geometry as CIF:
```
data_TaBeCoPb
_chemical_formula_sum 'Ta4 Be4 Co4 Pb4'
_cell_length_a 6.243
_cell_length_b 6.243
_cell_length_c 6.243
_cell_angle_alpha 90.00
_cell_angle_beta 90.00
_cell_angle_gamma 90.00
_space_group_name_H-M_alt 'F -4 3 m'
_space_group_IT_number 216
_space_group_name_Hall 'F -4 2 3'
loop_
_atom_site_label
_atom_site_type_symbol
_atom_site_fract_x
_atom_site_fract_y
_atom_site_fract_z
Ta1 Ta 0.000 0.000 0.000
Be1 Be 0.250 0.250 0.250
Co1 Co 0.250 0.250 0.750
Pb1 Pb 0.000 0.000 0.500
```



--- ii ---
Material: TaBeCoPb
Method: DFT, PBE
State: relaxed

Geometry as CIF:
```
data_TaBeCoPb
_chemical_formula_sum 'Ta4 Be4 Co4 Pb4'
_cell_length_a 6.314
_cell_length_b 6.314
_cell_length_c 6.314
_cell_angle_alpha 90.00
_cell_angle_beta 90.00
_cell_angle_gamma 90.00
_space_group_name_H-M_alt 'F -4 3 m'
_space_group_IT_number 216
_space_group_name_Hall 'F -4 2 3'
loop_
_atom_site_label
_atom_site_type_symbol
_atom_site_fract_x
_atom_site_fract_y
_atom_site_fract_z
Ta1 Ta 0.000 0.000 0.000
Be1 Be 0.250 0.250 0.750
Co1 Co 0.000 0.000 0.500
Pb1 Pb 0.250 0.250 0.250
```



Result of the stability comparison: i is the most stable of them.



--- i ---
Material: BeCoPbW
Method: DFT, PBE
State: relaxed

Geometry as CIF:
```
data_BeCoPbW
_chemical_formula_sum 'Be4 Co4 Pb4 W4'
_cell_length_a 6.235
_cell_length_b 6.235
_cell_length_c 6.235
_cell_angle_alpha 90.00
_cell_angle_beta 90.00
_cell_angle_gamma 90.00
_space_group_name_H-M_alt 'F -4 3 m'
_space_group_IT_number 216
_space_group_name_Hall 'F -4 2 3'
loop_
_atom_site_label
_atom_site_type_symbol
_atom_site_fract_x
_atom_site_fract_y
_atom_site_fract_z
Be1 Be 0.000 0.000 0.000
Co1 Co 0.250 0.250 0.750
Pb1 Pb 0.000 0.000 0.500
W1 W 0.250 0.250 0.250
```



--- ii ---
Material: BeCoPbW
Method: DFT, PBE
State: relaxed

Geometry as CIF:
```
data_BeCoPbW
_chemical_formula_sum 'Be4 Co4 Pb4 W4'
_cell_length_a 6.170
_cell_length_b 6.170
_cell_length_c 6.170
_cell_angle_alpha 90.00
_cell_angle_beta 90.00
_cell_angle_gamma 90.00
_space_group_name_H-M_alt 'F -4 3 m'
_space_group_IT_number 216
_space_group_name_Hall 'F -4 2 3'
loop_
_atom_site_label
_atom_site_type_symbol
_atom_site_fract_x
_atom_site_fract_y
_atom_site_fract_z
Be1 Be 0.000 0.000 0.000
Co1 Co 0.000 0.000 0.500
Pb1 Pb 0.250 0.250 0.250
W1 W 0.250 0.250 0.750
```



Result of the stability comparison: ii is the most stable of them.



--- i ---
Material: PrBeCo
Method: DFT, PBE
State: relaxed

Geometry as CIF:
```
data_PrBeCo
_chemical_formula_sum 'Pr4 Be4 Co4'
_cell_length_a 6.410
_cell_length_b 6.410
_cell_length_c 6.410
_cell_angle_alpha 90.00
_cell_angle_beta 90.00
_cell_angle_gamma 90.00
_space_group_name_H-M_alt 'F -4 3 m'
_space_group_IT_number 216
_space_group_name_Hall 'F -4 2 3'
loop_
_atom_site_label
_atom_site_type_symbol
_atom_site_fract_x
_atom_site_fract_y
_atom_site_fract_z
Pr1 Pr 0.000 0.000 0.000
Be1 Be 0.250 0.250 0.750
Co1 Co 0.250 0.250 0.250
```



--- ii ---
Material: PrBeCo
Method: DFT, PBE
State: relaxed

Geometry as CIF:
```
data_PrBeCo
_chemical_formula_sum 'Pr4 Be4 Co4'
_cell_length_a 6.150
_cell_length_b 6.150
_cell_length_c 6.150
_cell_angle_alpha 90.00
_cell_angle_beta 90.00
_cell_angle_gamma 90.00
_space_group_name_H-M_alt 'F -4 3 m'
_space_group_IT_number 216
_space_group_name_Hall 'F -4 2 3'
loop_
_atom_site_label
_atom_site_type_symbol
_atom_site_fract_x
_atom_site_fract_y
_atom_site_fract_z
Pr1 Pr 0.000 0.000 0.000
Be1 Be 0.000 0.000 0.500
Co1 Co 0.250 0.250 0.750
```



--- iii ---
Material: PrBeCo
Method: DFT, PBE
State: relaxed

Geometry as CIF:
```
data_PrBeCo
_chemical_formula_sum 'Pr4 Be4 Co4'
_cell_length_a 6.027
_cell_length_b 6.027
_cell_length_c 6.027
_cell_angle_alpha 90.00
_cell_angle_beta 90.00
_cell_angle_gamma 90.00
_space_group_name_H-M_alt 'F -4 3 m'
_space_group_IT_number 216
_space_group_name_Hall 'F -4 2 3'
loop_
_atom_site_label
_atom_site_type_symbol
_atom_site_fract_x
_atom_site_fract_y
_atom_site_fract_z
Pr1 Pr 0.000 0.000 0.000
Be1 Be 0.250 0.250 0.750
Co1 Co 0.000 0.000 0.500
```



Result of the stability comparison: ii is the most stable of them.



--- i ---
Material: RbBeCoW
Method: DFT, PBE
State: relaxed

Geometry as CIF:
```
data_RbBeCoW
_chemical_formula_sum 'Rb4 Be4 Co4 W4'
_cell_length_a 6.323
_cell_length_b 6.323
_cell_length_c 6.323
_cell_angle_alpha 90.00
_cell_angle_beta 90.00
_cell_angle_gamma 90.00
_space_group_name_H-M_alt 'F -4 3 m'
_space_group_IT_number 216
_space_group_name_Hall 'F -4 2 3'
loop_
_atom_site_label
_atom_site_type_symbol
_atom_site_fract_x
_atom_site_fract_y
_atom_site_fract_z
Rb1 Rb 0.000 0.000 0.000
Be1 Be 0.250 0.250 0.750
Co1 Co 0.000 0.000 0.500
W1 W 0.250 0.250 0.250
```



--- ii ---
Material: RbBeCoW
Method: DFT, PBE
State: relaxed

Geometry as CIF:
```
data_RbBeCoW
_chemical_formula_sum 'Rb4 Be4 Co4 W4'
_cell_length_a 6.326
_cell_length_b 6.326
_cell_length_c 6.326
_cell_angle_alpha 90.00
_cell_angle_beta 90.00
_cell_angle_gamma 90.00
_space_group_name_H-M_alt 'F -4 3 m'
_space_group_IT_number 216
_space_group_name_Hall 'F -4 2 3'
loop_
_atom_site_label
_atom_site_type_symbol
_atom_site_fract_x
_atom_site_fract_y
_atom_site_fract_z
Rb1 Rb 0.000 0.000 0.000
Be1 Be 0.000 0.000 0.500
Co1 Co 0.250 0.250 0.750
W1 W 0.250 0.250 0.250
```



Result of the stability comparison: i is the most stable of them.



--- i ---
Material: BeCoRe
Method: DFT, PBE
State: relaxed

Geometry as CIF:
```
data_BeCoRe
_chemical_formula_sum 'Be4 Co4 Re4'
_cell_length_a 5.324
_cell_length_b 5.324
_cell_length_c 5.324
_cell_angle_alpha 90.00
_cell_angle_beta 90.00
_cell_angle_gamma 90.00
_space_group_name_H-M_alt 'F -4 3 m'
_space_group_IT_number 216
_space_group_name_Hall 'F -4 2 3'
loop_
_atom_site_label
_atom_site_type_symbol
_atom_site_fract_x
_atom_site_fract_y
_atom_site_fract_z
Be1 Be 0.000 0.000 0.000
Co1 Co 0.250 0.250 0.250
Re1 Re 0.000 0.000 0.500
```



--- ii ---
Material: BeCoRe
Method: DFT, PBE
State: relaxed

Geometry as CIF:
```
data_BeCoRe
_chemical_formula_sum 'Be4 Co4 Re4'
_cell_length_a 4.449
_cell_length_b 4.606
_cell_length_c 6.213
_cell_angle_alpha 90.00
_cell_angle_beta 90.00
_cell_angle_gamma 90.00
_space_group_name_H-M_alt 'I m m a'
_space_group_IT_number 74
_space_group_name_Hall '-I 2b 2'
loop_
_atom_site_label
_atom_site_type_symbol
_atom_site_fract_x
_atom_site_fract_y
_atom_site_fract_z
Be1 Be 0.250 0.250 0.250
Co1 Co 0.000 0.000 0.000
Re1 Re 0.000 0.250 0.621
```



Result of the stability comparison: ii is the most stable of them.